# TaTcAs2, relaxed, DFT GGA-PBEsol
data_TaTcAs2
_space_group_name_H-M_alt 'F -4 3 m'
_space_group_IT_number 216
_space_group_name_Hall 'F -4 2 3'
_cell_length_a 6.3353
_cell_length_b 6.3353
_cell_length_c 6.3353
_cell_angle_alpha 90.00
_cell_angle_beta 90.00
_cell_angle_gamma 90.00
loop_
_atom_site_label
_atom_site_type_symbol
_atom_site_fract_x
_atom_site_fract_y
_atom_site_fract_z
Ta1 Ta 0.0000 0.0000 0.0000
Tc1 Tc 0.2500 0.2500 0.7500
As1 As 0.0000 0.0000 0.5000
As2 As 0.2500 0.2500 0.2500
# E, eV per formula unit: -33.192
# Excess energy over the best structure of this formula in the dataset, meV per atom: 46.2

---

# TaTcAs2, relaxed, DFT GGA-PBEsol
data_TaTcAs2
_space_group_name_H-M_alt 'P m m m'
_space_group_IT_number 47
_cell_length_a 3.2073
_cell_length_b 3.9736
_cell_length_c 5.0206
_cell_angle_alpha 90.00
_cell_angle_beta 90.00
_cell_angle_gamma 90.00
loop_
_space_group_symop_operation_xyz
'x,y,z'
'-x,-y,-z'
'-x,-y,z'
'x,y,-z'
'x,-y,-z'
'-x,y,z'
'-x,y,-z'
'x,-y,z'
loop_
_atom_site_label
_atom_site_type_symbol
_atom_site_fract_x
_atom_site_fract_y
_atom_site_fract_z
Ta1 Ta 0.0000 0.0000 0.0000
Tc1 Tc 0.5000 0.0000 0.5000
As1 As 0.0000 0.5000 0.5000
As2 As 0.5000 0.5000 0.0000
# E, eV per formula unit: -33.377
# Excess energy over the best structure of this formula in the dataset, meV per atom: 0.0

---

# TaTcAs, relaxed, DFT GGA-PBEsol
data_TaTcAs
_space_group_name_H-M_alt 'I 4 m m'
_space_group_IT_number 107
_space_group_name_Hall 'I 4 -2'
_cell_length_a 3.0261
_cell_length_b 3.0261
_cell_length_c 9.9922
_cell_angle_alpha 90.00
_cell_angle_beta 90.00
_cell_angle_gamma 90.00
loop_
_atom_site_label
_atom_site_type_symbol
_atom_site_fract_x
_atom_site_fract_y
_atom_site_fract_z
Ta1 Ta 0.0000 0.0000 0.0000
Tc1 Tc 0.0000 0.0000 0.6857
As1 As 0.0000 0.0000 0.3170
# E, eV per formula unit: -29.417

---

# TaTi2As2, relaxed, DFT GGA-PBEsol
data_TaTi2As2
_space_group_name_H-M_alt 'P 4/m b m'
_space_group_IT_number 127
_space_group_name_Hall '-P 4 2ab'
_cell_length_a 6.8259
_cell_length_b 6.8259
_cell_length_c 3.3799
_cell_angle_alpha 90.00
_cell_angle_beta 90.00
_cell_angle_gamma 90.00
loop_
_atom_site_label
_atom_site_type_symbol
_atom_site_fract_x
_atom_site_fract_y
_atom_site_fract_z
Ta1 Ta 0.0000 0.0000 0.0000
Ti1 Ti 0.1525 0.3475 0.5000
As1 As 0.1455 0.6455 0.0000
# E, eV per formula unit: -43.180

---

# Ta2TlAs, relaxed, DFT GGA-PBEsol
data_Ta2TlAs
_space_group_name_H-M_alt 'P 4 m m'
_space_group_IT_number 99
_cell_length_a 2.8482
_cell_length_b 2.8482
_cell_length_c 10.3383
_cell_angle_alpha 90.00
_cell_angle_beta 90.00
_cell_angle_gamma 90.00
loop_
_space_group_symop_operation_xyz
'x,y,z'
'-y,x,z'
'-x,-y,z'
'y,-x,z'
'-x,y,z'
'y,x,z'
'x,-y,z'
'-y,-x,z'
loop_
_atom_site_label
_atom_site_type_symbol
_atom_site_fract_x
_atom_site_fract_y
_atom_site_fract_z
Ta1 Ta 0.0000 0.0000 0.0000
Ta2 Ta 0.5000 0.5000 0.2159
Tl1 Tl 0.0000 0.0000 0.4700
As1 As 0.5000 0.5000 0.8063
# E, eV per formula unit: -31.919
# Excess energy over the best structure of this formula in the dataset, meV per atom: 118.2

---

# Ta2TlAs, relaxed, DFT GGA-PBEsol
data_Ta2TlAs
_space_group_name_H-M_alt 'C m m m'
_space_group_IT_number 65
_space_group_name_Hall '-C 2 2'
_cell_length_a 3.4224
_cell_length_b 5.0091
_cell_length_c 8.6221
_cell_angle_alpha 90.00
_cell_angle_beta 90.00
_cell_angle_gamma 90.00
loop_
_atom_site_label
_atom_site_type_symbol
_atom_site_fract_x
_atom_site_fract_y
_atom_site_fract_z
Ta1 Ta 0.0000 0.0000 0.2217
Tl1 Tl 0.0000 0.5000 0.5000
As1 As 0.0000 0.5000 0.0000
# E, eV per formula unit: -31.978
# Excess energy over the best structure of this formula in the dataset, meV per atom: 103.3

---

# Ta2TlAs, relaxed, DFT GGA-PBEsol
data_Ta2TlAs
_space_group_name_H-M_alt 'C m m 2'
_space_group_IT_number 35
_cell_length_a 3.4620
_cell_length_b 4.6649
_cell_length_c 10.3270
_cell_angle_alpha 90.00
_cell_angle_beta 90.00
_cell_angle_gamma 90.00
loop_
_space_group_symop_operation_xyz
'x,y,z'
'-x,-y,z'
'-x,y,z'
'x,-y,z'
'x+1/2,y+1/2,z'
'-x+1/2,-y+1/2,z'
'-x+1/2,y+1/2,z'
'x+1/2,-y+1/2,z'
loop_
_atom_site_label
_atom_site_type_symbol
_atom_site_fract_x
_atom_site_fract_y
_atom_site_fract_z
Ta1 Ta 0.0000 0.0000 0.0000
Ta2 Ta 0.0000 0.5000 0.2127
Tl1 Tl 0.0000 0.5000 0.7440
As1 As 0.0000 0.0000 0.4050
# E, eV per formula unit: -32.392
# Excess energy over the best structure of this formula in the dataset, meV per atom: 0.0

---

# TaTlAs, relaxed, DFT GGA-PBEsol
data_TaTlAs
_space_group_name_H-M_alt 'P 3 m 1'
_space_group_IT_number 156
_cell_length_a 3.2013
_cell_length_b 3.2013
_cell_length_c 6.8074
_cell_angle_alpha 90.00
_cell_angle_beta 90.00
_cell_angle_gamma 120.00
loop_
_space_group_symop_operation_xyz
'x,y,z'
'-y,x-y,z'
'-x+y,-x,z'
'-y,-x,z'
'-x+y,y,z'
'x,x-y,z'
loop_
_atom_site_label
_atom_site_type_symbol
_atom_site_fract_x
_atom_site_fract_y
_atom_site_fract_z
Ta1 Ta 0.0000 0.0000 0.0000
Tl1 Tl 0.3333 0.6667 0.6450
As1 As 0.6667 0.3333 0.2683
# E, eV per formula unit: -19.735

---

# TaAsW2, relaxed, DFT GGA-PBEsol
data_TaAsW2
_space_group_name_H-M_alt 'R 3 m'
_space_group_IT_number 160
_space_group_name_Hall 'R 3 -2"'
_cell_length_a 3.1148
_cell_length_b 3.1148
_cell_length_c 23.7564
_cell_angle_alpha 90.00
_cell_angle_beta 90.00
_cell_angle_gamma 120.00
loop_
_atom_site_label
_atom_site_type_symbol
_atom_site_fract_x
_atom_site_fract_y
_atom_site_fract_z
Ta1 Ta 0.0000 0.0000 0.0000
As1 As 0.0000 0.0000 0.7509
W1 W 0.0000 0.0000 0.2472
W2 W 0.0000 0.0000 0.4982
# E, eV per formula unit: -44.089

---

# TaAsW3, relaxed, DFT GGA-PBEsol
data_TaAsW3
_space_group_name_H-M_alt 'P m -3 m'
_space_group_IT_number 221
_space_group_name_Hall '-P 4 2 3'
_cell_length_a 4.5198
_cell_length_b 4.5198
_cell_length_c 4.5198
_cell_angle_alpha 90.00
_cell_angle_beta 90.00
_cell_angle_gamma 90.00
loop_
_atom_site_label
_atom_site_type_symbol
_atom_site_fract_x
_atom_site_fract_y
_atom_site_fract_z
Ta1 Ta 0.0000 0.0000 0.0000
As1 As 0.5000 0.5000 0.5000
W1 W 0.0000 0.5000 0.5000
# E, eV per formula unit: -51.745

---

# TaAsW2, relaxed, DFT GGA-PBEsol
data_TaAsW2
_space_group_name_H-M_alt 'C m m m'
_space_group_IT_number 65
_space_group_name_Hall '-C 2 2'
_cell_length_a 3.2880
_cell_length_b 4.6943
_cell_length_c 8.3427
_cell_angle_alpha 90.00
_cell_angle_beta 90.00
_cell_angle_gamma 90.00
loop_
_atom_site_label
_atom_site_type_symbol
_atom_site_fract_x
_atom_site_fract_y
_atom_site_fract_z
Ta1 Ta 0.0000 0.0000 0.0000
As1 As 0.0000 0.0000 0.5000
W1 W 0.0000 0.5000 0.2610
# E, eV per formula unit: -44.427

---

# Ta2AsW, relaxed, DFT GGA-PBEsol
data_Ta2AsW
_space_group_name_H-M_alt 'C 1 2/m 1'
_space_group_IT_number 12
_cell_length_a 9.6415
_cell_length_b 3.3797
_cell_length_c 4.5374
_cell_angle_alpha 90.00
_cell_angle_beta 117.93
_cell_angle_gamma 90.00
loop_
_space_group_symop_operation_xyz
'x,y,z'
'-x,-y,-z'
'-x,y,-z'
'x,-y,z'
'x+1/2,y+1/2,z'
'-x+1/2,-y+1/2,-z'
'-x+1/2,y+1/2,-z'
'x+1/2,-y+1/2,z'
loop_
_atom_site_label
_atom_site_type_symbol
_atom_site_fract_x
_atom_site_fract_y
_atom_site_fract_z
Ta1 Ta 0.2495 0.0000 0.2493
As1 As 0.0000 0.5000 0.0000
W1 W 0.0000 0.0000 0.5000
# E, eV per formula unit: -43.962

---

Which formula does entry 1 have? TaTcAs2